(1)
VASP calculation (PBE) on a geometry-optimized InTeCl2 structure.

Output
energy above the lowest structure with this stoichiometry	0.380	eV/atom
crystal system	tetragonal
symmetry	I-42d (122)
E_form (uncorrected)	-6.5	kcal/mol of atoms

a b c (Å): 9.775 9.775 7.510
angles (deg): 49.40 49.40 90.00
Site moments in Bohr magnetons follow the coordinates.
Fractional positions:
Cl: 0.465 0.125 0.250  0.07
Cl: 0.285 0.625 0.250  0.07
Cl: 0.375 0.535 0.750  0.07
Cl: 0.875 0.715 0.750  0.08
Te: 0.000 0.000 0.000  0.54
Te: 0.750 0.250 0.500  0.54
In: 0.500 0.500 0.000  -0.02
In: 0.250 0.750 0.500  -0.02

(2)
VASP calculation (PBE) on a geometry-optimized InTeCl2 structure.

Output
energy above the lowest structure with this stoichiometry	0.313	eV/atom
crystal system	monoclinic
symmetry	P2/m (10)
E_form (uncorrected)	-8.1	kcal/mol of atoms

a b c (Å): 3.425 6.332 5.264
angles (deg): 89.30 90.00 90.00
Fractional positions:
Cl: 0.000 0.000 0.000
Cl: 0.500 0.500 0.000
Te: 0.000 0.000 0.500
In: 0.500 0.500 0.500